Entry 1:
VASP calculation (meta-GGA SCAN) on CdCuP2 at its PBEsol-relaxed geometry.

Output
- energy (eV per atom) = -16.23
- density (kg/m3) = 6196

a = 9.463 Å, b = 9.463 Å, c = 9.463 Å
α = 17.08°, β = 17.08°, γ = 17.08°
Sites, in units of the cell vectors:
Cd  0.000  0.000  0.000
Cu  0.500  0.500  0.500
P  0.232  0.232  0.232
P  0.768  0.768  0.768



Entry 2:
VASP calculation (meta-GGA SCAN) on Cd2CuP at its PBEsol-relaxed geometry.

Output
- energy (eV per atom) = -21.22
- density (kg/m3) = 7638

a = 4.613 Å, b = 4.613 Å, c = 4.613 Å
α = 60.00°, β = 60.00°, γ = 60.00°
Sites, in units of the cell vectors:
Cd  0.000  0.000  0.000
Cd  0.250  0.250  0.250
Cu  0.750  0.750  0.750
P  0.500  0.500  0.500



Entry 3:
VASP calculation (meta-GGA SCAN) on CdCu2P at its PBEsol-relaxed geometry.

Output
- energy (eV per atom) = -17.62
- density (kg/m3) = 7897
- polymorph energy (0 for the lowest one) (meV per atom) = 51

a = 8.087 Å, b = 8.087 Å, c = 8.087 Å
α = 20.52°, β = 20.52°, γ = 20.52°
Sites, in units of the cell vectors:
Cd  0.000  0.000  0.000
Cu  0.240  0.240  0.240
Cu  0.760  0.760  0.760
P  0.500  0.500  0.500



Entry 4:
VASP calculation (meta-GGA SCAN) on Cd3Cu2P10 at its PBEsol-relaxed geometry.

Output
- energy (eV per atom) = -15.22
- density (kg/m3) = 4557

a = 7.343 Å, b = 7.343 Å, c = 7.343 Å
α = 60.32°, β = 60.32°, γ = 60.32°
Sites, in units of the cell vectors:
Cd  0.080  0.460  0.460
Cd  0.460  0.080  0.460
Cd  0.460  0.460  0.080
Cu  0.473  0.473  0.473
Cu  0.862  0.862  0.862
P  0.353  0.874  0.874
P  0.359  0.359  0.854
P  0.359  0.854  0.359
P  0.481  0.992  0.992
P  0.854  0.359  0.359
P  0.874  0.353  0.874
P  0.874  0.874  0.353
P  0.990  0.990  0.990
P  0.992  0.481  0.992
P  0.992  0.992  0.481



Entry 5:
VASP calculation (meta-GGA SCAN) on Cd2CuP at its PBEsol-relaxed geometry.

Output
- energy (eV per atom) = -21.32
- density (kg/m3) = 7593

a = 2.850 Å, b = 5.018 Å, c = 4.888 Å
α = 90.00°, β = 92.83°, γ = 90.00°
Sites, in units of the cell vectors:
Cd  0.237  0.000  0.255
Cd  0.763  0.000  0.745
Cu  0.000  0.500  0.500
P  0.000  0.500  0.000



Entry 6:
VASP calculation (meta-GGA SCAN) on CdCu2P at its PBEsol-relaxed geometry.

Output
- energy (eV per atom) = -17.67
- density (kg/m3) = 7542
- polymorph energy (0 for the lowest one) (meV per atom) = 0

a = 3.084 Å, b = 3.886 Å, c = 4.969 Å
α = 90.00°, β = 90.00°, γ = 90.00°
Sites, in units of the cell vectors:
Cd  0.000  0.000  0.000
Cu  0.500  0.500  0.250
Cu  0.500  0.500  0.750
P  0.500  0.000  0.500



Entry 7:
VASP calculation (meta-GGA SCAN) on CdCuP2 at its PBEsol-relaxed geometry.

Output
- energy (eV per atom) = -16.17
- density (kg/m3) = 6050

a = 2.682 Å, b = 2.682 Å, c = 9.227 Å
α = 90.00°, β = 90.00°, γ = 100.31°
Sites, in units of the cell vectors:
Cd  0.000  0.000  0.000
Cu  0.000  0.000  0.500
P  0.500  0.500  0.310
P  0.500  0.500  0.690



Entry 8:
VASP calculation (meta-GGA SCAN) on CdCu2P at its PBEsol-relaxed geometry.

Output
- energy (eV per atom) = -17.60
- density (kg/m3) = 7949
- polymorph energy (0 for the lowest one) (meV per atom) = 65

a = 3.100 Å, b = 3.100 Å, c = 5.878 Å
α = 90.00°, β = 90.00°, γ = 90.00°
Sites, in units of the cell vectors:
Cd  0.000  0.000  0.000
Cu  0.500  0.500  0.289
Cu  0.500  0.500  0.711
P  0.000  0.000  0.500



Entry 9:
VASP calculation (meta-GGA SCAN) on CdCuP2Rh at its PBEsol-relaxed geometry.

Output
- energy (eV per atom) = -19.32
- density (kg/m3) = 6507

a = 4.281 Å, b = 4.281 Å, c = 4.745 Å
α = 90.00°, β = 90.00°, γ = 90.00°
Sites, in units of the cell vectors:
Cd  0.000  0.000  0.000
Cu  0.500  0.500  0.500
P  0.000  0.500  0.500
P  0.500  0.000  0.500
Rh  0.500  0.500  0.000



Entry 10:
VASP calculation (meta-GGA SCAN) on CdCuPb3 at its PBEsol-relaxed geometry.

Output
- energy (eV per atom) = -53.73
- density (kg/m3) = 7884

a = 5.518 Å, b = 5.518 Å, c = 5.518 Å
α = 90.00°, β = 90.00°, γ = 90.00°
Sites, in units of the cell vectors:
Cd  0.000  0.000  0.000
Cu  0.500  0.500  0.500
Pb  0.000  0.000  0.500
Pb  0.000  0.500  0.000
Pb  0.500  0.000  0.000



Entry 11:
VASP calculation (meta-GGA SCAN) on CdCuPb2 at its PBEsol-relaxed geometry.

Output
- energy (eV per atom) = -49.18
- density (kg/m3) = 10787

a = 3.276 Å, b = 3.276 Å, c = 8.467 Å
α = 90.00°, β = 90.00°, γ = 90.00°
Sites, in units of the cell vectors:
Cd  0.000  0.000  0.000
Cu  0.500  0.500  0.172
Pb  0.000  0.000  0.385
Pb  0.500  0.500  0.729



Entry 12:
VASP calculation (meta-GGA SCAN) on CdCuPb2 at its PBEsol-relaxed geometry.

Output
- energy (eV per atom) = -48.92
- density (kg/m3) = 10431

a = 5.103 Å, b = 5.103 Å, c = 5.103 Å
α = 60.00°, β = 60.00°, γ = 60.00°
Sites, in units of the cell vectors:
Cd  0.000  0.000  0.000
Cu  0.250  0.250  0.250
Pb  0.500  0.500  0.500
Pb  0.750  0.750  0.750